! PPdRuN, optimized geometry, DFT PBE-GGA; values from VASP
! - uncorrected formation energy (kJ/mol of formula units) = 49.0
! - E above lowest polymorph (eV per atom) = 0.061
! - calculated volume (Å³ per cell) = 58.2
&SYSTEM
  ibrav = 0, nat = 4, ntyp = 4
/
ATOMIC_SPECIES
P 30.97 P.upf
Pd 106.42 Pd.upf
Ru 101.07 Ru.upf
N 14.01 N.upf
ATOMIC_POSITIONS crystal
P 0.0000 0.0000 0.0000
Pd 0.4726 0.4726 0.7011
Ru 0.7837 0.7837 0.2628
N 0.2332 0.2332 0.2456
CELL_PARAMETERS angstrom
3.7422 -2.0023 0.0000
3.7422 2.0023 0.0000
-1.3470 0.0000 3.8809